Arrangement one

! CoCuAs2 | Alexandria | PBE | relaxed; values from VASP
! DOS(E_F) = 4.1 states/eV/cell
! volume = 59.7 Å³ per cell
&SYSTEM
  ibrav = 0, nat = 4, ntyp = 3
/
ATOMIC_SPECIES
As 74.92 As.upf
Co 58.93 Co.upf
Cu 63.55 Cu.upf
ATOMIC_POSITIONS angstrom
As 0.000 0.000 0.000
As 2.194 1.267 0.896
Co 4.388 2.533 1.791
Cu 6.581 3.800 2.687
CELL_PARAMETERS angstrom
4.388 0.000 0.000
2.194 3.800 0.000
2.194 1.267 3.582



Arrangement two

! CoCuAs2 | Alexandria | PBE | relaxed; values from VASP
! DOS(E_F) = 2.5 states/eV/cell
! volume = 58.8 Å³ per cell
&SYSTEM
  ibrav = 0, nat = 4, ntyp = 3
/
ATOMIC_SPECIES
As 74.92 As.upf
Co 58.93 Co.upf
Cu 63.55 Cu.upf
ATOMIC_POSITIONS angstrom
As 1.174 0.486 5.187
As 3.899 1.616 2.781
Co 5.928 2.457 3.992
Cu 1.976 0.819 1.331
CELL_PARAMETERS angstrom
3.970 0.010 0.008
2.813 2.802 0.008
1.120 0.464 5.307



Need the numbers? Relative energies in kJ/mol of atoms: arrangement one 37.1; arrangement two 0.0.



Arrangement one

! CoCuAs2 | Alexandria | PBE | relaxed; values from VASP
! DOS(E_F) = 3.1 states/eV/cell
! volume = 65.6 Å³ per cell
&SYSTEM
  ibrav = 0, nat = 4, ntyp = 3
/
ATOMIC_SPECIES
As 74.92 As.upf
Co 58.93 Co.upf
Cu 63.55 Cu.upf
ATOMIC_POSITIONS angstrom
As 0.000 5.696 3.252
As 2.281 2.766 1.578
Co 0.000 3.591 2.049
Cu 2.281 4.779 2.729
CELL_PARAMETERS angstrom
4.563 0.000 0.000
0.000 4.284 0.309
0.000 2.449 3.534



Arrangement two

! CoCuAs2 | Alexandria | PBE | relaxed; values from VASP
! DOS(E_F) = 6.6 states/eV/cell
! volume = 153.8 Å³ per cell
&SYSTEM
  ibrav = 0, nat = 8, ntyp = 3
/
ATOMIC_SPECIES
As 74.92 As.upf
Co 58.93 Co.upf
Cu 63.55 Cu.upf
ATOMIC_POSITIONS angstrom
As 3.934 1.357 1.305
As 1.494 4.071 1.305
As 4.071 4.207 3.916
As 6.785 6.648 3.916
Co 2.714 2.714 0.000
Co 2.714 5.428 2.611
Cu 0.000 0.000 0.000
Cu 5.428 2.714 2.611
CELL_PARAMETERS angstrom
5.428 0.000 0.000
0.000 5.428 0.000
2.714 2.714 5.221



Need the numbers? Relative energies in kJ/mol of atoms: arrangement one 0.0; arrangement two 14.7.



Arrangement one

! Co3CuAs | Alexandria | PBE | relaxed; values from VASP
! DOS(E_F) = 14.3 states/eV/cell
! volume = 79.9 Å³ per cell
&SYSTEM
  ibrav = 0, nat = 5, ntyp = 3
/
ATOMIC_SPECIES
As 74.92 As.upf
Co 58.93 Co.upf
Cu 63.55 Cu.upf
ATOMIC_POSITIONS angstrom
As 2.154 2.154 2.154
Co 0.000 2.154 0.000
Co 0.000 0.000 2.154
Co 2.154 0.000 0.000
Cu 0.000 0.000 0.000
CELL_PARAMETERS angstrom
4.307 0.000 0.000
0.000 4.307 0.000
0.000 0.000 4.307



Arrangement two

! Co3CuAs | Alexandria | PBE | relaxed; values from VASP
! DOS(E_F) = 10.1 states/eV/cell
! volume = 79.5 Å³ per cell
&SYSTEM
  ibrav = 0, nat = 5, ntyp = 3
/
ATOMIC_SPECIES
As 74.92 As.upf
Co 58.93 Co.upf
Cu 63.55 Cu.upf
ATOMIC_POSITIONS angstrom
As 0.000 0.000 0.000
Co 0.000 2.150 0.000
Co 0.000 0.000 2.150
Co 2.150 0.000 0.000
Cu 2.150 2.150 2.150
CELL_PARAMETERS angstrom
4.300 0.000 0.000
0.000 4.300 0.000
0.000 0.000 4.300



Need the numbers? Relative energies in kJ/mol of atoms: arrangement one 35.8; arrangement two 0.0.